Computed, not measured: crystalline PuSnPd2 at its relaxed geometry at the GGA-PBE level of DFT.

Properties
The calculation puts the calculated density at 11.86 g cm⁻³. Its crystal system is tetragonal. The value obtained for the formation energy is -398 meV/atom. The total magnetic moment is 5.7 μB/f.u.

Cell: 3.3326 3.3326 7.2529 Å, 90.00 90.00 90.00°
With the nearest neighbours (Å) after each atom.
Space group P4/mmm (No. 123)
One atom of each set of equivalent atoms:
Pu  0.0000  0.0000  0.0000  8 Pd 3.12, 4 Pu 3.33
Sn  0.0000  0.0000  0.5000  8 Pd 2.84
Pd  0.5000  0.5000  0.2822  4 Sn 2.84, 4 Pu 3.12, 1 Pd 3.16